DFT (PBE) results for a relaxed CeYC4 crystal.

## Properties
magnetization: 0.47 μB per formula unit
ΔE_f: -0.161 eV per atom

a b c (Å): 3.724 4.182 6.553
angles (deg): 85.54 73.49 63.56
Fractional coordinates of all 6 atoms:
Ce 0.000 0.500 0.500
Y 0.000 0.000 0.000
C 0.609 0.589 0.193
C 0.598 0.094 0.709
C 0.391 0.411 0.807
C 0.402 0.906 0.291

***

DFT (PBE) results for a relaxed Pr2AlSbPd6 crystal.

## Properties
magnetization: 0.00 μB per formula unit
formation energy without anion corrections: -68.0 kJ per mole of atoms

a b c (Å): 6.632 6.699 6.681
angles (deg): 49.08 85.45 105.55
Fractional coordinates of all 10 atoms:
Pr 0.750 0.250 0.502
Pr 0.250 0.750 0.498
Al 0.500 0.500 0.000
Sb 0.000 0.000 0.000
Pd 0.314 0.302 0.487
Pd 0.917 0.740 0.826
Pd 0.314 0.800 0.989
Pd 0.686 0.200 0.011
Pd 0.083 0.260 0.174
Pd 0.686 0.698 0.513

***

DFT (PBE) results for a relaxed Y2TmCd2 crystal.

## Properties
magnetization: 0.00 μB per formula unit
ΔE_f: -0.266 eV per atom

a b c (Å): 3.733 5.305 13.808
angles (deg): 90.00 97.80 90.00
Fractional coordinates of all 10 atoms:
Y 0.046 0.750 0.092
Y 0.954 0.250 0.908
Y 0.235 0.750 0.472
Y 0.765 0.250 0.528
Tm 0.851 0.750 0.703
Tm 0.149 0.250 0.297
Cd 0.641 0.750 0.282
Cd 0.359 0.250 0.718
Cd 0.448 0.750 0.895
Cd 0.552 0.250 0.105

***

DFT (PBE) results for a relaxed MnV2In crystal.

## Properties
magnetization: 0.00 μB per formula unit
ΔE_f: 0.476 eV per atom

a b c (Å): 6.932 6.932 5.562
angles (deg): 51.46 51.46 90.00
Fractional coordinates of all 8 atoms:
Mn 0.500 0.500 0.000
Mn 0.250 0.750 0.500
In 0.000 0.000 0.000
In 0.750 0.250 0.500
V 0.563 0.125 0.250
V 0.187 0.625 0.250
V 0.375 0.437 0.750
V 0.875 0.813 0.750

***

DFT (PBE) results for a relaxed Ca2Ta4Rh crystal.

## Properties
magnetization: 1.12 μB per formula unit
ΔE_f: 1.317 eV per atom

a b c (Å): 4.852 4.852 8.864
angles (deg): 74.12 74.12 90.00
Fractional coordinates of all 7 atoms:
Ca 0.648 0.648 0.705
Ca 0.352 0.352 0.295
Rh 0.000 0.000 0.000
Ta 0.853 0.853 0.293
Ta 0.147 0.147 0.707
Ta 0.000 0.500 0.000
Ta 0.500 0.000 0.000

***

DFT (PBE) results for a relaxed Ga2TcTe crystal.

## Properties
magnetization: 1.02 μB per formula unit
formation energy without anion corrections: 58.7 kJ per mole of atoms

a b c (Å): 6.122 6.122 7.324
angles (deg): 65.29 65.29 90.00
Fractional coordinates of all 8 atoms:
Te 0.000 0.000 0.000
Te 0.750 0.250 0.500
Tc 0.500 0.500 0.000
Tc 0.250 0.750 0.500
Ga 0.581 0.125 0.250
Ga 0.169 0.625 0.250
Ga 0.375 0.419 0.750
Ga 0.875 0.831 0.750